Material: SmThSb
Method: DFT, PBE-GGA
State: relaxed

Output
As for the symmetry: P3m1 (156). Its crystal system is trigonal. Its total energy is -16.97 eV per formula unit. For the total moment, the calculation gives 0.000 μB/f.u. The value obtained for the formation energy from raw total energies is -0.24 eV per atom. Its density of states at the Fermi level is 4.0 states/eV/f.u.

Lattice parameters (Å, degrees): 3.7340 5.3675 5.3675 120.00 90.00 90.00
Sites, in units of the cell vectors:
Sm  0.5811  0.6667  0.3333
Sb  0.3521  0.3333  0.6667
Th  0.0668  0.0000  0.0000